DFT (SCAN) results for a crystal of Cu3Pt2 relaxed with PBEsol.

Structure (POSCAR):
```
Cu3Pt2
1.0
-3.5984 1.6799 1.1133
0.0761 -3.0907 -2.7298
-0.3892 -3.3106 3.7375
Cu Pt
3 2
Cartesian
0.0000 0.0000 0.0000
-1.2898 -2.7004 -0.0942
-2.6217 -2.0210 2.2152
-1.4800 -4.3184 1.7325
-2.4315 -0.4031 0.3886
```

Its energy relative to the lowest polymorph listed for this composition is 0.2385 eV/atom. The value obtained for the volume is 73.8 Å³/f.u.